(1)
VASP calculation (PBE) on an optimized crystal structure of Mn5AlB2W2.

VASP energy: -9.1581 eV/atom

Cell lengths 8.652, 8.652, 2.948 Å; angles 90.00, 90.00, 90.00 degrees
Space group P4/mbm (No. 127)
One atom of each set of equivalent atoms:
Mn 0.000 0.500 0.000 x2
Mn 0.067 0.218 0.000 x8
Al 0.000 0.000 0.500 x2
B 0.123 0.377 0.500 x4
W 0.177 0.677 0.500 x4

---

(2)
VASP calculation (PBE) on an optimized crystal structure of CePuZr.

VASP energy: -9.4563 eV/atom

Cell lengths 5.2562, 5.2562, 3.2018 Å; angles 90.00, 90.00, 120.00 degrees
Space group P3m1 (No. 156)
One atom of each set of equivalent atoms:
Ce 0.0000 0.0000 0.0000 x1
Pu 0.3333 0.6667 0.5023 x1
Zr 0.6667 0.3333 0.4984 x1

---

(3)
VASP calculation (PBE) on an optimized crystal structure of BeHg3H.

VASP energy: -0.8096 eV/atom

Cell lengths 4.516, 4.516, 4.516 Å; angles 90.00, 90.00, 90.00 degrees
Space group Pm-3m (No. 221)
One atom of each set of equivalent atoms:
Be 0.000 0.000 0.000 x1
Hg 0.000 0.500 0.500 x3
H 0.500 0.500 0.500 x1

---

(4)
VASP calculation (PBE) on an optimized crystal structure of MnV2FeI.

Formation energy without anion corrections: 1.696 eV/atom

Cell lengths 4.776, 4.776, 4.590 Å; angles 90.00, 90.00, 90.00 degrees
Space group P4/mmm (No. 123)
One atom of each set of equivalent atoms:
Mn 0.000 0.000 0.000 x1
V 0.000 0.500 0.500 x2
Fe 0.500 0.500 0.000 x1
I 0.500 0.500 0.500 x1

---

(5)
VASP calculation (PBE) on an optimized crystal structure of HoGeO3.

Formation energy without anion corrections: -2.463 eV/atom

Cell lengths 6.135, 5.182, 11.076 Å; angles 90.00, 112.76, 90.00 degrees
Space group P2_1/c (No. 14)
One atom of each set of equivalent atoms:
Ho 0.200 0.054 0.174 x4
Ge 0.331 0.577 0.410 x4
O 0.127 0.145 0.798 x4
O 0.145 0.694 0.488 x4
O 0.452 0.729 0.816 x4

---

(6)
VASP calculation (PBE) on an optimized crystal structure of Tm5Ni2Sn.

VASP energy: -5.2205 eV/atom

Cell lengths 7.550, 7.550, 13.231 Å; angles 90.00, 90.00, 90.00 degrees
Space group I4/mcm (No. 140)
One atom of each set of equivalent atoms:
Tm 0.000 0.000 0.000 x4
Tm 0.159 0.341 0.136 x16
Ni 0.129 0.371 0.500 x8
Sn 0.000 0.000 0.250 x4

---

(7)
VASP calculation (PBE) on an optimized crystal structure of LiTeCl6.

Formation energy without anion corrections: -0.756 eV/atom

Cell lengths 7.493, 11.816, 7.092 Å; angles 90.00, 118.81, 90.00 degrees
Space group C2/m (No. 12)
One atom of each set of equivalent atoms:
Li 0.000 0.000 0.000 x2
Te 0.000 0.000 0.500 x2
Cl 0.003 0.145 0.757 x8
Cl 0.129 0.500 0.315 x4

---

(8)
VASP calculation (PBE) on an optimized crystal structure of AlAgOs2Rh.

VASP energy: -5.6540 eV/atom

Cell lengths 4.443, 4.443, 4.502 Å; angles 90.00, 90.00, 90.00 degrees
Space group P4/mmm (No. 123)
One atom of each set of equivalent atoms:
Al 0.000 0.000 0.000 x1
Ag 0.000 0.000 0.500 x1
Os 0.000 0.500 0.000 x2
Rh 0.500 0.500 0.500 x1

---

(9)
VASP calculation (PBE) on an optimized crystal structure of InAg2Pt.

VASP energy: -3.7233 eV/atom

Cell lengths 5.646, 10.142, 2.968 Å; angles 90.00, 120.68, 90.00 degrees
Space group C2/m (No. 12)
One atom of each set of equivalent atoms:
In 0.000 0.000 0.000 x2
Ag 0.250 0.250 0.500 x4
Pt 0.000 0.500 0.000 x2

---

(10)
VASP calculation (PBE) on an optimized crystal structure of BaP2OsO8.

Formation energy without anion corrections: -1.969 eV/atom

Cell lengths 5.1808, 5.1808, 23.3949 Å; angles 90.00, 90.00, 120.00 degrees
Space group R-3m (No. 166, hexagonal axes)
One atom of each set of equivalent atoms:
Ba 0.0000 0.0000 0.0000 x3
P 0.0000 0.0000 0.2412 x6
Os 0.0000 0.0000 0.5000 x3
O 0.0000 0.0000 0.3066 x6
O 0.0069 0.5034 0.8875 x18

---

(11)
VASP calculation (PBE) on an optimized crystal structure of Pm3Dy6Ho2Th.

VASP energy: -4.8498 eV/atom

Cell lengths 6.188, 10.712, 11.821 Å; angles 90.00, 100.06, 90.00 degrees
Space group C2/m (No. 12)
One atom of each set of equivalent atoms:
Pm 0.000 0.000 0.000 x2
Pm 0.000 0.333 0.000 x4
Dy 0.247 0.500 0.253 x4
Dy 0.248 0.335 0.747 x8
Ho 0.000 0.167 0.500 x4
Th 0.000 0.500 0.500 x2

---

(12)
VASP calculation (PBE) on an optimized crystal structure of Ho3BeSi2.

Formation energy without anion corrections: -0.620 eV/atom

Cell lengths 11.156, 4.008, 11.380 Å; angles 90.00, 90.00, 90.00 degrees
Space group Pnma (No. 62)
One atom of each set of equivalent atoms:
Ho 0.063 0.250 0.121 x4
Ho 0.122 0.750 0.560 x4
Ho 0.204 0.250 0.798 x4
Be 0.135 0.250 0.364 x4
Si 0.033 0.750 0.319 x4
Si 0.194 0.750 0.986 x4

---

(13)
VASP calculation (PBE) on an optimized crystal structure of Ce2InSi2Rh5.

Formation energy without anion corrections: -0.826 eV/atom

Cell lengths 9.959, 9.959, 3.543 Å; angles 90.00, 90.00, 90.00 degrees
Space group P4/mbm (No. 127)
One atom of each set of equivalent atoms:
Ce 0.178 0.322 0.000 x4
In 0.000 0.000 0.000 x2
Si 0.120 0.620 0.000 x4
Rh 0.000 0.500 0.500 x2
Rh 0.069 0.780 0.500 x8

---

(14)
VASP calculation (PBE) on an optimized crystal structure of GaAsPd6.

VASP energy: -5.1668 eV/atom

Cell lengths 5.874, 8.028, 5.517 Å; angles 90.00, 107.05, 90.00 degrees
Space group C2/m (No. 12)
One atom of each set of equivalent atoms:
Ga 0.000 0.000 0.000 x2
As 0.000 0.500 0.000 x2
Pd 0.080 0.256 0.764 x8
Pd 0.244 0.000 0.508 x4

---

(15)
VASP calculation (PBE) on an optimized crystal structure of NaAs2Rh.

VASP energy: -4.6416 eV/atom

Cell lengths 7.548, 7.548, 5.799 Å; angles 90.00, 90.00, 90.00 degrees
Space group I-42d (No. 122)
One atom of each set of equivalent atoms:
Na 0.000 0.000 0.000 x4
As 0.179 0.750 0.625 x8
Rh 0.000 0.000 0.500 x4

---

(16)
VASP calculation (PBE) on an optimized crystal structure of ScTi12Nb6.

VASP energy: -8.2574 eV/atom

Cell lengths 10.436, 12.225, 6.080 Å; angles 90.00, 116.09, 90.00 degrees
Space group C2/m (No. 12)
One atom of each set of equivalent atoms:
Sc 0.000 0.000 0.000 x2
Ti 0.000 0.107 0.500 x4
Ti 0.131 0.500 0.714 x4
Ti 0.221 0.144 0.899 x8
Ti 0.227 0.167 0.352 x8
Nb 0.002 0.304 0.758 x8
Nb 0.151 0.500 0.253 x4

---

(17)
VASP calculation (PBE) on an optimized crystal structure of LiY4ErS8.

Formation energy without anion corrections: -1.976 eV/atom

Cell lengths 8.0160, 8.0160, 19.5477 Å; angles 90.00, 90.00, 120.00 degrees
Space group R3m (No. 160, hexagonal axes)
One atom of each set of equivalent atoms:
Li 0.0000 0.0000 0.0000 x3
Y 0.0000 0.0000 0.2495 x3
Y 0.1728 0.3455 0.4568 x9
Er 0.0000 0.0000 0.6298 x3
S 0.0000 0.0000 0.3834 x3
S 0.0000 0.0000 0.8688 x3
S 0.0185 0.5092 0.3763 x9
S 0.1789 0.3579 0.2062 x9

---

(18)
VASP calculation (PBE) on an optimized crystal structure of TbTlC.

VASP energy: -5.4872 eV/atom

Cell lengths 3.954, 5.567, 6.401 Å; angles 81.59, 78.35, 86.78 degrees
Space group P-1 (No. 2)
One atom of each set of equivalent atoms:
Tb 0.051 0.257 0.217 x2
Tl 0.432 0.233 0.667 x2
C 0.387 0.556 0.944 x2

---

(19)
VASP calculation (PBE) on an optimized crystal structure of AgSbRh.

Formation energy without anion corrections: 0.091 eV/atom

Cell lengths 3.2142, 3.2142, 6.5957 Å; angles 90.00, 90.00, 120.00 degrees
Space group P3m1 (No. 156)
One atom of each set of equivalent atoms:
Ag 0.0000 0.0000 0.0000 x1
Sb 0.6667 0.3333 0.6124 x1
Rh 0.3333 0.6667 0.3335 x1

---

(20)
VASP calculation (PBE) on an optimized crystal structure of SrLa2Mn.

VASP energy: -4.7907 eV/atom

Cell lengths 11.066, 11.066, 11.066 Å; angles 90.00, 90.00, 90.00 degrees
Space group Fd-3m (No. 227, origin choice 2)
One atom of each set of equivalent atoms:
Sr 0.125 0.125 0.125 x8
La 0.000 0.000 0.500 x16
Mn 0.125 0.125 0.625 x8